28
Lattice="0.000 7.214 7.214 7.214 0.000 7.214 7.214 7.214 0.000" Properties=species:S:1:pos:R:3 comment="NaIn10Ag3 (PBE, relaxed)" space_group=Fm-3m formation_enthalpy_0k_mev_per_atom=29.9 e_tot_ry_per_atom=-0.193 pbc="T T T"
Na 3.607 3.607 3.607
Na 10.820 10.820 10.820
In 2.488 2.488 0.000
In 4.726 4.726 0.000
In 2.488 0.000 2.488
In 7.214 4.726 2.488
In 4.726 0.000 4.726
In 7.214 2.488 4.726
In 8.950 5.477 5.477
In 0.000 2.488 2.488
In 4.726 7.214 2.488
In 4.726 2.488 7.214
In 5.477 5.477 5.477
In 8.950 8.950 5.477
In 8.950 5.477 8.950
In 5.477 8.950 5.477
In 5.477 5.477 8.950
In 8.950 8.950 8.950
In 0.000 4.726 4.726
In 2.488 7.214 4.726
In 2.488 4.726 7.214
In 5.477 8.950 8.950
Ag 7.214 7.214 3.864
Ag 7.214 3.864 7.214
Ag 10.563 7.214 7.214
Ag 3.864 7.214 7.214
Ag 7.214 10.563 7.214
Ag 7.214 7.214 10.563

***

17
Lattice="6.105 -4.199 0.000 6.105 4.199 0.000 -4.395 0.000 10.384" Properties=species:S:1:pos:R:3 comment="U4CuTe12 (PBE, relaxed)" space_group=Cm e_tot_ry_per_atom=-0.413 pbc="T T T"
U 0.000 0.000 0.000
U 4.805 2.087 7.066
U 1.741 0.000 10.374
U 4.805 -2.087 7.066
Cu -1.222 0.000 3.174
Te 1.745 2.102 8.094
Te 4.551 2.073 1.734
Te 0.251 0.000 5.340
Te -1.320 0.000 9.346
Te 7.603 2.094 1.740
Te 3.328 0.000 5.279
Te 1.745 -2.102 8.094
Te 4.551 -2.073 1.734
Te 6.280 0.000 5.303
Te 4.775 0.000 9.358
Te 7.603 -2.094 1.740
Te 9.376 0.000 5.297

***

16
Lattice="3.786 2.186 7.073 -3.786 2.186 7.073 0.000 -4.371 7.073" Properties=species:S:1:pos:R:3 comment="Na4ZrTi3Se8 (PBE, relaxed)" space_group=R-3m e_tot_ry_per_atom=-0.389 pbc="T T T"
Na 0.000 0.000 0.000
Na -1.893 -1.093 7.073
Na -1.893 1.093 14.147
Na 0.000 2.186 7.073
Zr 0.000 0.000 10.610
Ti -3.786 0.000 10.610
Ti -1.893 1.093 3.537
Ti 1.893 1.093 3.537
Se -1.937 -1.118 12.153
Se 0.000 0.000 5.033
Se 0.000 -2.237 9.068
Se -1.937 1.118 9.068
Se 1.937 -1.118 12.153
Se 0.000 2.237 12.153
Se 0.000 0.000 16.187
Se 1.937 1.118 9.068